[1]
DFT (PBE) results for a relaxed Sc2Bi2Te crystal.

```
data_Sc2Bi2Te
_chemical_formula_sum 'Sc4 Bi4 Te2'
_symmetry_space_group_name_H-M 'P 4/m b m'
_symmetry_Int_Tables_number 127
_symmetry_space_group_name_Hall '-P 4 2ab'
_cell_length_a 8.512
_cell_length_b 8.512
_cell_length_c 3.854
_cell_angle_alpha 90.00
_cell_angle_beta 90.00
_cell_angle_gamma 90.00
loop_
_atom_site_label
_atom_site_type_symbol
_atom_site_fract_x
_atom_site_fract_y
_atom_site_fract_z
_atom_site_occupancy
Sc1 Sc 0.156 0.344 0.000 1
Bi1 Bi 0.144 0.644 0.500 1
Te1 Te 0.000 0.000 0.500 1
```

Values from the calculation:
- crystal system = tetragonal
- ΔE_f (raw) (eV per formula unit) = -1.54
- raw total energy (eV per atom) = -5.0211
- DOS(E_F) (states/eV/cell) = 5.29

***

[2]
DFT (PBE) results for a relaxed SrCuSb crystal.

```
data_SrCuSb
_chemical_formula_sum 'Sr4 Cu4 Sb4'
_symmetry_space_group_name_H-M 'C 1 2/m 1'
_symmetry_Int_Tables_number 12
_symmetry_space_group_name_Hall '-C 2y'
_cell_length_a 10.013
_cell_length_b 4.421
_cell_length_c 8.029
_cell_angle_alpha 90.00
_cell_angle_beta 106.90
_cell_angle_gamma 90.00
loop_
_atom_site_label
_atom_site_type_symbol
_atom_site_fract_x
_atom_site_fract_y
_atom_site_fract_z
_atom_site_occupancy
Sr1 Sr 0.000 0.000 0.000 1
Sr2 Sr 0.000 0.500 0.500 1
Cu1 Cu 0.201 0.000 0.407 1
Sb1 Sb 0.242 0.500 0.243 1
```

Values from the calculation:
- crystal system = monoclinic
- ΔE_f (raw) (eV per formula unit) = -1.67
- raw total energy (eV per atom) = -3.8580
- DOS(E_F) (states/eV/cell) = 2.86

***

[3]
DFT (PBE) results for a relaxed ZrZnHg crystal.

```
data_ZrZnHg
_chemical_formula_sum 'Zr1 Zn1 Hg1'
_symmetry_space_group_name_H-M 'P -6 m 2'
_symmetry_Int_Tables_number 187
_symmetry_space_group_name_Hall 'P -6 2'
_cell_length_a 4.5976
_cell_length_b 4.5976
_cell_length_c 3.1954
_cell_angle_alpha 90.00
_cell_angle_beta 90.00
_cell_angle_gamma 120.00
loop_
_atom_site_label
_atom_site_type_symbol
_atom_site_fract_x
_atom_site_fract_y
_atom_site_fract_z
_atom_site_occupancy
Zr1 Zr 0.0000 0.0000 0.0000 1
Zn1 Zn 0.3333 0.6667 0.5000 1
Hg1 Hg 0.6667 0.3333 0.5000 1
```

Values from the calculation:
- crystal system = hexagonal
- ΔH_f (0 K) (eV/atom) = -0.17
- raw total energy (eV per atom) = -3.5445
- DOS(E_F) (states/eV/cell) = 2.17